Compound: ZrTc2Ge4
Source: Alexandria via LeMat-Bulk
Functional: PBE-GGA
Structure: relaxed

Summary:
The energy of formation comes out at 0.6602 eV per atom. The uncorrected energy is -6.161 eV per atom. For the density of states at the Fermi level, the calculation gives 7.0 states/eV/f.u.

Cell: 4.965 4.965 12.744 Å, 90.00 90.00 90.00°
Space group I4/mmm (No. 139)
One atom of each set of equivalent atoms:
Zr 0.000 0.000 0.000 x2
Tc 0.000 0.000 0.408 x4
Ge 0.000 0.000 0.215 x4
Ge 0.000 0.500 0.000 x4